Here is crystalline SrTe2Au at its relaxed geometry from Alexandria via LeMat-Bulk. Energies are from PBE.

a = 9.7903 Å, b = 9.7903 Å, c = 9.7903 Å
α = 24.87°, β = 24.87°, γ = 24.87°
Last column: nearest neighbours and their distance in Å.
Sites, in units of the cell vectors:
Sr: 0.0000 0.0000 0.0000  2 Te 3.23
Te: 0.1136 0.1136 0.1136  3 Au 2.87
Te: 0.8864 0.8864 0.8864  3 Au 2.87
Au: 0.5000 0.5000 0.5000  6 Te 2.87

Results
uncorrected formation energy	-0.15	eV/atom
total moment	0.0	μB/f.u.
uncorrected energy	-2.958	eV per atom
D(E_F)	3.7	states/eV per cell